# NdNbZn

Crystalline NdNbZn at its relaxed geometry (PBE-GGA, OQMD).

**M_tot**: 0.022 μB/cell
**Energy of formation from the pure elements**: 0.5480 eV per atom

extended XYZ file:
```
3
Lattice="0.000 3.315 3.315 3.315 0.000 3.315 3.315 3.315 0.000" Properties=species:S:1:pos:R:3 pbc="T T T"
Nb 1.657 1.657 1.657
Nd 4.972 4.972 4.972
Zn 0.000 0.000 0.000
```